Er3TmMg7 | PBE-GGA | optimized geometry

Output
Volume   1194.9 Å³ per cell
Size of the total moment   0.0 μB per formula unit
Density   4.67 g/cm³
Energy relative to the elements   104.7 meV per atom

Cell: 3.2854 22.3386 16.2808 Å, 90.00 90.00 90.00°
Space group Cmcm (No. 63)
One atom of each set of equivalent atoms:
1 Er 0.0000 0.1180 0.0327 [8 per cell]
2 Er 0.0000 0.2372 0.7500 [4 per cell]
3 Tm 0.0000 0.0134 0.7500 [4 per cell]
4 Mg 0.0000 0.2619 0.0753 [8 per cell]
5 Mg 0.0000 0.3757 0.1577 [8 per cell]
6 Mg 0.0000 0.3840 0.7500 [4 per cell]
7 Mg 0.0000 0.4941 0.0845 [8 per cell]

ErTm4Mg3 | PBE-GGA | optimized geometry

Output
Volume   220.4 Å³ per cell
Size of the total moment   0.0 μB per formula unit
Density   6.90 g/cm³
Energy relative to the elements   6.9 meV per atom

Cell: 3.8341 5.3342 10.7787 Å, 90.00 90.00 90.00°
Space group Pmmm (No. 47)
One atom of each set of equivalent atoms:
1 Er 0.0000 0.0000 0.0000 [1 per cell]
2 Tm 0.5000 0.0000 0.2601 [2 per cell]
3 Tm 0.5000 0.5000 0.0000 [1 per cell]
4 Tm 0.5000 0.5000 0.5000 [1 per cell]
5 Mg 0.0000 0.0000 0.5000 [1 per cell]
6 Mg 0.0000 0.5000 0.2513 [2 per cell]

Er3TmMg | PBE-GGA | optimized geometry

Output
Volume   314.9 Å³ per cell
Size of the total moment   0.0 μB per formula unit
Density   7.33 g/cm³
Energy relative to the elements   201.5 meV per atom

Cell: 3.5442 11.0232 8.2518 Å, 90.00 102.37 90.00°
Space group P2_1/m (No. 11)
One atom of each set of equivalent atoms:
1 Er 0.1540 0.0063 0.3068 [4 per cell]
2 Er 0.3016 0.2500 0.6014 [2 per cell]
3 Tm 0.0162 0.7500 0.0376 [2 per cell]
4 Mg 0.3564 0.7500 0.7155 [2 per cell]

- Which formula does entry 2 have?
  ErTm4Mg3

- Look up the volume of the first one.
  1194.9 Å³ per cell

What did the first record say?
Er3TmMg7 | PBE-GGA | optimized geometry

Output
Volume   1194.9 Å³ per cell
Size of the total moment   0.0 μB per formula unit
Density   4.67 g/cm³
Energy relative to the elements   104.7 meV per atom

Cell: 3.2854 22.3386 16.2808 Å, 90.00 90.00 90.00°
Space group Cmcm (No. 63)
One atom of each set of equivalent atoms:
1 Er 0.0000 0.1180 0.0327 [8 per cell]
2 Er 0.0000 0.2372 0.7500 [4 per cell]
3 Tm 0.0000 0.0134 0.7500 [4 per cell]
4 Mg 0.0000 0.2619 0.0753 [8 per cell]
5 Mg 0.0000 0.3757 0.1577 [8 per cell]
6 Mg 0.0000 0.3840 0.7500 [4 per cell]
7 Mg 0.0000 0.4941 0.0845 [8 per cell]